Computed, not measured: AsAuSe2 after structural relaxation at the GGA-PBEsol level of DFT.

Its magnetization is 0.00 μB per cell. The space group is Immm (71). The value obtained for the total energy is -16.019 eV/cell. For the energy relative to the elements, uncorrected, the calculation gives 178 meV per atom. As for the crystal system: orthorhombic. The theoretical density comes out at 8.25 Mg/m³.

Cell lengths 3.9007, 4.0894, 6.1159 Å; angles 109.53, 108.60, 90.00 degrees
With the nearest neighbours (Å) after each atom.
Sites, in units of the cell vectors:
As 0.5000 0.0000 0.0000  4 Se 2.74, 4 Au 2.83
Se 0.6681 0.6681 0.3362  2 Au 2.67, 2 As 2.74
Se 0.3319 0.3319 0.6638  2 Au 2.67, 2 As 2.74
Au 0.0000 0.5000 0.0000  4 Se 2.67, 4 As 2.83